No. 1
Crystalline Mg2OsBr at its relaxed geometry. Source: Alexandria, functional GGA-PBE.

Unit cell a=5.2855 b=5.2855 c=4.8776 alpha=63.64 beta=63.64 gamma=36.91
Last column: nearest neighbours and their distance in Å.
Fractional positions:
Os 0.7500 0.7500 0.7500  4 Mg 2.76, 4 Br 2.96
Mg 0.4980 0.4980 0.5037  2 Os 2.76, 2 Br 2.79, 4 Mg 2.94-2.97
Mg 0.0020 0.0020 0.9963  2 Os 2.76, 2 Br 2.79, 4 Mg 2.94-2.97
Br 0.2500 0.2500 0.2500  4 Mg 2.79, 4 Os 2.96

Properties
E	-14.11	eV/cell
calculated density	7.3	g/cm3
D(E_F)	2.87	states/eV/cell
crystal system	monoclinic

No. 2
Crystalline MgOsBr2 at its relaxed geometry. Source: Alexandria, functional GGA-PBE.

Unit cell a=5.4169 b=5.4169 c=3.5644 alpha=69.59 beta=69.59 gamma=104.26
Last column: nearest neighbours and their distance in Å.
Fractional positions:
Br 0.5000 0.5000 0.0000  2 Os 2.67, 2 Mg 2.67
Br 0.0000 0.0000 0.0000  2 Mg 2.67, 2 Os 2.67
Mg 0.5000 0.0000 0.5000  4 Br 2.67
Os 0.0000 0.5000 0.5000  4 Br 2.67

Properties
E	-13.69	eV/cell
calculated density	7.5	g/cm3
D(E_F)	2.47	states/eV/cell
crystal system	monoclinic

No. 3
Crystalline MgOsBr2 at its relaxed geometry. Source: Alexandria, functional GGA-PBE.

Unit cell a=4.7083 b=4.7083 c=3.3036 alpha=90.00 beta=90.00 gamma=90.00
Last column: nearest neighbours and their distance in Å.
Fractional positions:
Br 0.0000 0.0000 0.0000  4 Os 2.88, 4 Mg 2.88
Br 0.5000 0.5000 0.0000  4 Os 2.88, 4 Mg 2.88
Os 0.0000 0.5000 0.5000  8 Br 2.88
Mg 0.5000 0.0000 0.5000  8 Br 2.88

Properties
E	-13.30	eV/cell
calculated density	8.5	g/cm3
D(E_F)	1.99	states/eV/cell
crystal system	tetragonal

No. 4
Crystalline MgOsBr2 at its relaxed geometry. Source: Alexandria, functional GGA-PBE.

Unit cell a=3.1213 b=6.0553 c=4.3471 alpha=90.00 beta=90.00 gamma=90.00
Last column: nearest neighbours and their distance in Å.
Fractional positions:
Br 0.5000 0.5000 0.0000  4 Os 2.68
Br 0.0000 0.0000 0.0000  4 Mg 2.68
Mg 0.5000 0.0000 0.5000  4 Br 2.68
Os 0.0000 0.5000 0.5000  4 Br 2.68

Properties
E	-13.88	eV/cell
calculated density	7.6	g/cm3
D(E_F)	2.71	states/eV/cell
crystal system	orthorhombic

No. 5
Crystalline Mg4OsBr at its relaxed geometry. Source: Alexandria, functional GGA-PBE.

Unit cell a=5.5543 b=5.5543 c=5.5543 alpha=60.00 beta=60.00 gamma=60.00
Last column: nearest neighbours and their distance in Å.
Fractional positions:
Mg 0.3765 0.3765 0.8705  6 Mg 2.74-2.81
Mg 0.3765 0.3765 0.3765  6 Mg 2.74-2.81
Mg 0.3765 0.8705 0.3765  6 Mg 2.74-2.81
Mg 0.8705 0.3765 0.3765  6 Mg 2.74-2.81
Os 0.7500 0.7500 0.7500  12 Mg 3.25, 4 Br 3.40
Br 0.0000 0.0000 0.0000  12 Mg 3.26, 4 Os 3.40

Properties
E	-15.95	eV/cell
calculated density	5.0	g/cm3
D(E_F)	3.11	states/eV/cell
crystal system	cubic

No. 6
Crystalline MgOs3Br at its relaxed geometry. Source: Alexandria, functional GGA-PBE.

Unit cell a=4.5669 b=4.5669 c=4.5669 alpha=90.00 beta=90.00 gamma=90.00
Last column: nearest neighbours and their distance in Å.
Fractional positions:
Os 0.0000 0.0000 0.5000  2 Br 2.28
Os 0.5000 0.0000 0.0000  2 Br 2.28
Os 0.0000 0.5000 0.0000  2 Br 2.28
Mg 0.5000 0.5000 0.5000  12 Os 3.23
Br 0.0000 0.0000 0.0000  6 Os 2.28

Properties
E	-26.56	eV/cell
calculated density	11.8	g/cm3
D(E_F)	3.58	states/eV/cell
crystal system	cubic

No. 7
Crystalline Mg2OsBr at its relaxed geometry. Source: Alexandria, functional GGA-PBE.

Unit cell a=4.7321 b=4.7321 c=4.7321 alpha=60.00 beta=60.00 gamma=60.00
Last column: nearest neighbours and their distance in Å.
Fractional positions:
Mg 0.2500 0.2500 0.2500  4 Br 2.90, 4 Os 2.90
Mg 0.7500 0.7500 0.7500  4 Br 2.90, 4 Os 2.90
Os 0.5000 0.5000 0.5000  8 Mg 2.90
Br 0.0000 0.0000 0.0000  8 Mg 2.90

Properties
E	-13.75	eV/cell
calculated density	7.1	g/cm3
D(E_F)	3.54	states/eV/cell
crystal system	cubic

No. 8
Crystalline MgSbOs2Br at its relaxed geometry. Source: Alexandria, functional GGA-PBE.

Unit cell a=4.6971 b=4.7655 c=4.6971 alpha=90.00 beta=90.00 gamma=90.00
Last column: nearest neighbours and their distance in Å.
Fractional positions:
Os 0.0000 0.0000 0.5000  2 Br 2.35
Os 0.5000 0.0000 0.0000  2 Br 2.35
Br 0.0000 0.0000 0.0000  4 Os 2.35, 2 Mg 2.38
Mg 0.0000 0.5000 0.0000  2 Br 2.38
Sb 0.5000 0.5000 0.5000  4 Mg 3.32, 8 Os 3.35

Properties
E	-21.68	eV/cell
calculated density	9.6	g/cm3
D(E_F)	5.14	states/eV/cell
crystal system	tetragonal

No. 9
Crystalline MgOsSe2Br at its relaxed geometry. Source: Alexandria, functional GGA-PBE.

Unit cell a=4.8493 b=4.8493 c=5.3004 alpha=90.00 beta=90.00 gamma=90.00
Last column: nearest neighbours and their distance in Å.
Fractional positions:
Se 0.0000 0.5000 0.0000  2 Os 2.42
Se 0.5000 0.0000 0.0000  2 Os 2.42
Mg 0.5000 0.5000 0.5000  4 Br 3.43, 8 Se 3.59
Br 0.0000 0.0000 0.5000  2 Os 2.65
Os 0.0000 0.0000 0.0000  4 Se 2.42, 2 Br 2.65

Properties
E	-19.97	eV/cell
calculated density	6.0	g/cm3
D(E_F)	4.89	states/eV/cell
crystal system	tetragonal

No. 10
Crystalline MgSn2OsBr at its relaxed geometry. Source: Alexandria, functional GGA-PBE.

Unit cell a=5.1214 b=5.1214 c=5.2039 alpha=90.00 beta=90.00 gamma=90.00
Last column: nearest neighbours and their distance in Å.
Fractional positions:
Sn 0.5000 0.0000 0.0000  2 Os 2.56
Sn 0.0000 0.5000 0.0000  2 Os 2.56
Mg 0.0000 0.0000 0.5000  2 Os 2.60
Br 0.5000 0.5000 0.5000  4 Mg 3.62, 8 Sn 3.65
Os 0.0000 0.0000 0.0000  4 Sn 2.56, 2 Mg 2.60

Properties
E	-23.02	eV/cell
calculated density	6.5	g/cm3
D(E_F)	2.23	states/eV/cell
crystal system	tetragonal

No. 11
Crystalline MgP2Br at its relaxed geometry. Source: Alexandria, functional GGA-PBE.

Unit cell a=4.7100 b=4.7040 c=4.7079 alpha=65.88 beta=72.80 gamma=107.16
Last column: nearest neighbours and their distance in Å.
Fractional positions:
Mg 0.5000 0.0000 0.5000  2 Br 2.56, 4 P 2.79
Br 0.5000 0.5000 0.0000  2 Mg 2.56, 4 P 2.79
P 0.0000 0.5000 0.5000  2 P 2.56, 2 Br 2.79, 2 Mg 2.79
P 0.0000 0.0000 0.0000  2 P 2.56, 2 Mg 2.79, 2 Br 2.79

Properties
E	-13.82	eV/cell
calculated density	3.5	g/cm3
D(E_F)	2.10	states/eV/cell
crystal system	tetragonal

No. 12
Crystalline Mg3PBr at its relaxed geometry. Source: Alexandria, functional GGA-PBE.

Unit cell a=5.1461 b=5.1461 c=5.1461 alpha=90.00 beta=90.00 gamma=90.00
Last column: nearest neighbours and their distance in Å.
Fractional positions:
Br 0.0000 0.0000 0.0000  6 Mg 2.57
P 0.5000 0.5000 0.5000  12 Mg 3.64
Mg 0.0000 0.0000 0.5000  2 Br 2.57
Mg 0.5000 0.0000 0.0000  2 Br 2.57
Mg 0.0000 0.5000 0.0000  2 Br 2.57

Properties
E	-9.37	eV/cell
calculated density	2.2	g/cm3
D(E_F)	5.36	states/eV/cell
crystal system	cubic

| no. | uncorrected formation energy (eV/atom) |
| --- | --- |
| 1 | 0.4961 |
| 2 | 0.6204 |
| 3 | 0.7182 |
| 4 | 0.5731 |
| 5 | 0.5555 |
| 6 | 2.0798 |
| 7 | 0.5856 |
| 8 | 1.6347 |
| 9 | 0.2985 |
| 10 | -0.1029 |
| 11 | 0.0664 |
| 12 | 0.4995 |